w.
First-principles (PBE-GGA) data for an optimized crystal structure of Sm3TaO7, as listed in the Alexandria database.

Crystal system   orthorhombic

Cell: 6.640 6.640 7.616 Å, 90.00 90.00 108.61°
Element x y z (fractional)
Sm  0.036  0.499  0.260
Sm  0.038  0.038  0.000
Sm  0.499  0.036  0.740
Sm  0.501  0.964  0.240
Sm  0.962  0.962  0.500
Sm  0.964  0.501  0.760
Ta  0.498  0.498  0.500
Ta  0.502  0.502  0.000
O  0.129  0.871  0.750
O  0.139  0.861  0.250
O  0.176  0.419  0.978
O  0.199  0.454  0.543
O  0.419  0.176  0.022
O  0.438  0.562  0.250
O  0.454  0.199  0.457
O  0.546  0.801  0.957
O  0.562  0.438  0.750
O  0.581  0.824  0.522
O  0.801  0.546  0.043
O  0.824  0.581  0.478
O  0.861  0.139  0.750
O  0.871  0.129  0.250

***

x.
First-principles (PBE-GGA) data for an optimized crystal structure of Sm3TaO7, as listed in the Alexandria database.

Crystal system   orthorhombic

Cell: 8.298 8.298 5.476 Å, 90.00 90.00 125.17°
Element x y z (fractional)
Sm  0.000  0.500  0.500
Sm  0.118  0.882  0.973
Sm  0.382  0.618  0.973
Sm  0.500  0.000  0.500
Sm  0.618  0.382  0.027
Sm  0.882  0.118  0.027
Ta  0.250  0.250  0.500
Ta  0.750  0.750  0.500
O  0.011  0.989  0.707
O  0.106  0.338  0.733
O  0.162  0.394  0.267
O  0.250  0.750  0.745
O  0.338  0.106  0.267
O  0.394  0.162  0.733
O  0.489  0.511  0.707
O  0.511  0.489  0.293
O  0.606  0.838  0.267
O  0.662  0.894  0.733
O  0.750  0.250  0.255
O  0.838  0.606  0.733
O  0.894  0.662  0.267
O  0.989  0.011  0.293

***

y.
First-principles (PBE-GGA) data for an optimized crystal structure of Sm3TaO7, as listed in the Alexandria database.

Crystal system   orthorhombic

Cell: 6.599 6.599 7.651 Å, 90.00 90.00 69.19°
Element x y z (fractional)
Sm  0.000  0.000  0.000
Sm  0.000  0.000  0.500
Sm  0.063  0.481  0.750
Sm  0.481  0.063  0.250
Sm  0.519  0.937  0.750
Sm  0.937  0.519  0.250
Ta  0.500  0.500  0.000
Ta  0.500  0.500  0.500
O  0.111  0.153  0.250
O  0.153  0.111  0.750
O  0.183  0.562  0.034
O  0.183  0.562  0.466
O  0.429  0.571  0.750
O  0.438  0.817  0.034
O  0.438  0.817  0.466
O  0.562  0.183  0.534
O  0.562  0.183  0.966
O  0.571  0.429  0.250
O  0.817  0.438  0.534
O  0.817  0.438  0.966
O  0.847  0.889  0.250
O  0.889  0.847  0.750

***

Verdict on stability: w comes out on top.

***

w.
First-principles (PBE-GGA) data for an optimized crystal structure of TbSmO2, as listed in the Alexandria database.

Crystal system   trigonal

Cell: 6.264 6.264 6.264 Å, 31.91 31.91 31.91°
Element x y z (fractional)
Tb  0.000  0.000  0.000
Sm  0.822  0.822  0.822
O  0.402  0.402  0.402
O  0.585  0.585  0.585

***

x.
First-principles (PBE-GGA) data for an optimized crystal structure of TbSmO2, as listed in the Alexandria database.

Crystal system   trigonal

Cell: 6.169 6.169 6.169 Å, 32.42 32.42 32.42°
Element x y z (fractional)
Tb  0.000  0.000  0.000
Sm  0.500  0.500  0.500
O  0.262  0.262  0.262
O  0.738  0.738  0.738

***

Verdict on stability: x comes out on top.

***

w.
First-principles (PBE-GGA) data for an optimized crystal structure of TbSm2O, as listed in the Alexandria database.

Crystal system   tetragonal

Cell: 3.230 3.230 8.973 Å, 90.00 90.00 90.00°
Element x y z (fractional)
Tb  0.000  0.000  0.000
Sm  0.500  0.500  0.328
Sm  0.500  0.500  0.672
O  0.000  0.000  0.500

***

x.
First-principles (PBE-GGA) data for an optimized crystal structure of TbSm2O, as listed in the Alexandria database.

Crystal system   trigonal

Cell: 9.568 9.568 9.568 Å, 21.57 21.57 21.57°
Element x y z (fractional)
Tb  0.000  0.000  0.000
Sm  0.119  0.119  0.119
Sm  0.881  0.881  0.881
O  0.500  0.500  0.500

***

Verdict on stability: x comes out on top.

***

w.
First-principles (PBE-GGA) data for an optimized crystal structure of Sm2Tc2O7, as listed in the Alexandria database.

Crystal system   orthorhombic

Cell: 5.175 5.175 5.170 Å, 90.00 90.00 93.54°
Element x y z (fractional)
Sm  0.248  0.248  0.000
Sm  0.752  0.752  0.000
Tc  0.238  0.762  0.500
Tc  0.762  0.238  0.500
O  0.000  0.000  0.279
O  0.000  0.000  0.721
O  0.000  0.500  0.270
O  0.000  0.500  0.730
O  0.500  0.000  0.270
O  0.500  0.000  0.730
O  0.500  0.500  0.500

***

x.
First-principles (PBE-GGA) data for an optimized crystal structure of Sm2Tc2O7, as listed in the Alexandria database.

Crystal system   cubic

Cell: 7.394 7.394 7.394 Å, 60.00 60.00 60.00°
Element x y z (fractional)
Sm  0.000  0.000  0.000
Sm  0.000  0.000  0.500
Sm  0.000  0.500  0.000
Sm  0.500  0.000  0.000
Tc  0.000  0.500  0.500
Tc  0.500  0.000  0.500
Tc  0.500  0.500  0.000
Tc  0.500  0.500  0.500
O  0.125  0.125  0.125
O  0.166  0.166  0.584
O  0.166  0.584  0.166
O  0.166  0.584  0.584
O  0.416  0.416  0.834
O  0.416  0.834  0.416
O  0.416  0.834  0.834
O  0.584  0.166  0.166
O  0.584  0.166  0.584
O  0.584  0.584  0.166
O  0.834  0.416  0.416
O  0.834  0.416  0.834
O  0.834  0.834  0.416
O  0.875  0.875  0.875

***

Verdict on stability: x comes out on top.

***

w.
First-principles (PBE-GGA) data for an optimized crystal structure of Sm2TeO, as listed in the Alexandria database.

Crystal system   trigonal

Cell: 7.281 7.281 7.281 Å, 30.78 30.78 30.78°
Element x y z (fractional)
Sm  0.227  0.227  0.227
Sm  0.773  0.773  0.773
Te  0.000  0.000  0.000
O  0.500  0.500  0.500

***

x.
First-principles (PBE-GGA) data for an optimized crystal structure of Sm2TeO, as listed in the Alexandria database.

Crystal system   monoclinic

Cell: 8.200 6.665 6.956 Å, 90.00 92.46 90.00°
Element x y z (fractional)
Sm  0.060  0.174  0.350
Sm  0.060  0.326  0.850
Sm  0.309  0.647  0.550
Sm  0.309  0.853  0.050
Sm  0.691  0.147  0.950
Sm  0.691  0.353  0.450
Sm  0.940  0.674  0.150
Sm  0.940  0.826  0.650
Te  0.362  0.131  0.677
Te  0.362  0.369  0.177
Te  0.638  0.631  0.823
Te  0.638  0.869  0.323
O  0.136  0.666  0.844
O  0.136  0.834  0.344
O  0.864  0.166  0.656
O  0.864  0.334  0.156

***

Verdict on stability: x comes out on top.

***

w.
First-principles (PBE-GGA) data for an optimized crystal structure of Sm2TeO6, as listed in the Alexandria database.

Crystal system   monoclinic

Cell: 5.592 5.947 9.415 Å, 90.00 120.14 90.00°
Element x y z (fractional)
Sm  0.198  0.071  0.239
Sm  0.198  0.429  0.739
Sm  0.802  0.571  0.261
Sm  0.802  0.929  0.761
Te  0.500  0.000  0.000
Te  0.500  0.500  0.500
O  0.173  0.174  0.953
O  0.173  0.326  0.453
O  0.250  0.742  0.898
O  0.250  0.758  0.398
O  0.449  0.091  0.790
O  0.449  0.409  0.290
O  0.551  0.591  0.710
O  0.551  0.909  0.210
O  0.750  0.242  0.602
O  0.750  0.258  0.102
O  0.827  0.674  0.547
O  0.827  0.826  0.047

***

x.
First-principles (PBE-GGA) data for an optimized crystal structure of Sm2TeO6, as listed in the Alexandria database.

Crystal system   tetragonal

Cell: 5.089 5.089 10.323 Å, 90.00 90.00 90.00°
Element x y z (fractional)
Sm  0.000  0.000  0.165
Sm  0.000  0.000  0.835
Sm  0.500  0.500  0.335
Sm  0.500  0.500  0.665
Te  0.000  0.000  0.500
Te  0.500  0.500  0.000
O  0.181  0.181  0.358
O  0.181  0.181  0.642
O  0.227  0.227  0.000
O  0.273  0.727  0.500
O  0.319  0.681  0.142
O  0.319  0.681  0.858
O  0.681  0.319  0.142
O  0.681  0.319  0.858
O  0.727  0.273  0.500
O  0.773  0.773  0.000
O  0.819  0.819  0.358
O  0.819  0.819  0.642

***

Verdict on stability: w comes out on top.

***

w.
First-principles (PBE-GGA) data for an optimized crystal structure of SmTe2O8, as listed in the Alexandria database.

Crystal system   monoclinic

Cell: 5.338 5.338 6.101 Å, 107.02 107.02 94.76°
Element x y z (fractional)
Sm  0.000  0.000  0.000
Te  0.347  0.653  0.500
Te  0.761  0.239  0.500
O  0.073  0.266  0.759
O  0.222  0.771  0.237
O  0.229  0.778  0.763
O  0.433  0.323  0.285
O  0.605  0.014  0.657
O  0.677  0.567  0.715
O  0.734  0.927  0.241
O  0.986  0.395  0.343

***

x.
First-principles (PBE-GGA) data for an optimized crystal structure of SmTe2O8, as listed in the Alexandria database.

Crystal system   monoclinic

Cell: 5.730 5.730 5.472 Å, 98.70 98.70 66.11°
Element x y z (fractional)
Sm  0.000  0.000  0.000
Te  0.276  0.276  0.537
Te  0.724  0.724  0.463
O  0.060  0.651  0.673
O  0.185  0.185  0.806
O  0.349  0.940  0.327
O  0.413  0.413  0.328
O  0.587  0.587  0.672
O  0.651  0.060  0.673
O  0.815  0.815  0.194
O  0.940  0.349  0.327

***

Verdict on stability: w comes out on top.

***

w.
First-principles (PBE-GGA) data for an optimized crystal structure of SmTh4O10, as listed in the Alexandria database.

Crystal system   trigonal

Cell: 16.345 16.345 16.345 Å, 13.95 13.95 13.95°
Element x y z (fractional)
Sm  0.000  0.000  0.000
Th  0.200  0.200  0.200
Th  0.399  0.399  0.399
Th  0.601  0.601  0.601
Th  0.800  0.800  0.800
O  0.051  0.051  0.051
O  0.150  0.150  0.150
O  0.250  0.250  0.250
O  0.350  0.350  0.350
O  0.450  0.450  0.450
O  0.550  0.550  0.550
O  0.650  0.650  0.650
O  0.750  0.750  0.750
O  0.850  0.850  0.850
O  0.949  0.949  0.949

***

x.
First-principles (PBE-GGA) data for an optimized crystal structure of SmTh4O10, as listed in the Alexandria database.

Crystal system   tetragonal

Cell: 6.870 6.870 6.870 Å, 99.58 99.58 131.84°
Element x y z (fractional)
Sm  0.000  0.000  0.000
Th  0.201  0.399  0.600
Th  0.399  0.799  0.198
Th  0.601  0.201  0.802
Th  0.799  0.601  0.400
O  0.050  0.353  0.898
O  0.152  0.050  0.698
O  0.250  0.750  0.500
O  0.353  0.454  0.302
O  0.454  0.152  0.102
O  0.546  0.848  0.898
O  0.647  0.546  0.698
O  0.750  0.250  0.500
O  0.848  0.950  0.302
O  0.950  0.647  0.102

***

Verdict on stability: x comes out on top.